No. 1
The following is a DFT calculation (PBE) of a geometry-optimized In2AgSe3Br structure.

Computed properties:
SG = R-3m, No. 166
E_form (uncorrected) = -498 meV per atom

Unit cell a=8.127 b=8.127 c=8.127 alpha=61.04 beta=61.04 gamma=61.04
Element x y z (fractional)
In (0.000, 0.000, 0.000)
In (0.000, 0.000, 0.500)
In (0.000, 0.500, 0.000)
In (0.500, 0.000, 0.000)
Ag (0.415, 0.415, 0.415)
Ag (0.585, 0.585, 0.585)
Se (0.213, 0.758, 0.758)
Se (0.242, 0.242, 0.787)
Se (0.242, 0.787, 0.242)
Se (0.758, 0.213, 0.758)
Se (0.758, 0.758, 0.213)
Se (0.787, 0.242, 0.242)
Br (0.256, 0.256, 0.256)
Br (0.744, 0.744, 0.744)

---

No. 2
The following is a DFT calculation (PBE) of a geometry-optimized Na2MgAlTe4 structure.

Computed properties:
SG = I-42m, No. 121
E_form (uncorrected) = -650 meV per atom

Unit cell a=6.744 b=6.744 c=6.744 alpha=107.24 beta=107.24 gamma=114.04
Element x y z (fractional)
Na (0.000, 0.500, 0.500)
Na (0.500, 0.000, 0.500)
Mg (0.000, 0.000, 0.000)
Al (0.500, 0.500, 0.000)
Te (0.088, 0.451, 0.000)
Te (0.451, 0.088, 0.000)
Te (0.549, 0.549, 0.637)
Te (0.912, 0.912, 0.363)

---

No. 3
The following is a DFT calculation (PBE) of a geometry-optimized Ca2TaCu structure.

Computed properties:
SG = Immm, No. 71
DFT formation energy = 0.681 eV/atom

Unit cell a=6.152 b=6.152 c=6.152 alpha=148.32 beta=131.18 gamma=59.38
Element x y z (fractional)
Ca (0.206, 0.206, 0.000)
Ca (0.794, 0.794, 0.000)
Ta (0.500, 0.000, 0.500)
Cu (0.000, 0.500, 0.500)